Entry from Alexandria: an optimized crystal structure of Ho3ThC3 (PBE).

a = 10.386 Å, b = 10.386 Å, c = 10.386 Å
α = 90.00°, β = 90.00°, γ = 90.00°
Space group I4_132 (No. 214)
Inequivalent atoms, fractional coordinates:
Ho  0.114  0.375  0.364 x24
Th  0.125  0.125  0.125 x8
C  0.121  0.125  0.871 x24

Values from the calculation:
spin magnetization = 1.01 μB/f.u.
calculated formation energy = -0.24 eV per atom
ΔE to the lowest computed polymorph = 0 meV/atom

---

Entry from Alexandria: an optimized crystal structure of MnReCl2 (PBE).

a = 6.183 Å, b = 3.051 Å, c = 8.692 Å
α = 90.00°, β = 94.27°, γ = 90.00°
Space group Cm (No. 8)
Inequivalent atoms, fractional coordinates:
Mn  0.000  0.000  0.000 x2
Re  0.274  0.000  0.166 x2
Cl  0.036  0.500  0.803 x2
Cl  0.252  0.500  0.385 x2

Values from the calculation:
spin magnetization = 1.13 μB/f.u.
ΔE to the lowest computed polymorph = 0 meV/atom
E_form (uncorrected) = -0.117 eV/atom

---

Entry from Alexandria: an optimized crystal structure of Mg2NbNi (PBE).

a = 7.434 Å, b = 7.434 Å, c = 5.193 Å
α = 90.00°, β = 90.00°, γ = 90.00°
Space group I-42d (No. 122)
Inequivalent atoms, fractional coordinates:
Mg  0.201  0.250  0.125 x8
Nb  0.000  0.000  0.500 x4
Ni  0.000  0.000  0.000 x4

Values from the calculation:
spin magnetization = 0.00 μB/f.u.
calculated formation energy = 0.47 eV per atom

---

Entry from Alexandria: an optimized crystal structure of Na2CaAg2 (PBE).

a = 8.591 Å, b = 8.591 Å, c = 3.419 Å
α = 90.00°, β = 90.00°, γ = 90.00°
Space group P4/mbm (No. 127)
Inequivalent atoms, fractional coordinates:
Na  0.119  0.381  0.000 x4
Ca  0.000  0.000  0.000 x2
Ag  0.182  0.682  0.500 x4

Values from the calculation:
spin magnetization = 0.00 μB/f.u.
calculated formation energy = -0.01 eV per atom
ΔE to the lowest computed polymorph = 69 meV/atom

---

Entry from Alexandria: an optimized crystal structure of MgGa (PBE).

a = 11.347 Å, b = 11.347 Å, c = 3.068 Å
α = 90.00°, β = 90.00°, γ = 90.00°
Space group I4/m (No. 87)
Inequivalent atoms, fractional coordinates:
Mg  0.062  0.660  0.000 x8
Ga  0.148  0.215  0.000 x8

Values from the calculation:
spin magnetization = 0.00 μB/f.u.
calculated formation energy = 0.10 eV per atom

---

Entry from Alexandria: an optimized crystal structure of Al2InMo (PBE).

a = 7.535 Å, b = 7.535 Å, c = 5.553 Å
α = 90.00°, β = 90.00°, γ = 90.00°
Space group I-42d (No. 122)
Inequivalent atoms, fractional coordinates:
Al  0.219  0.250  0.125 x8
In  0.000  0.000  0.500 x4
Mo  0.000  0.000  0.000 x4

Values from the calculation:
spin magnetization = 0.00 μB/f.u.
calculated formation energy = 0.54 eV per atom

---

Entry from Alexandria: an optimized crystal structure of ZnTc2Au (PBE).

a = 2.824 Å, b = 3.828 Å, c = 5.695 Å
α = 90.00°, β = 90.00°, γ = 90.00°
Space group Pmm2 (No. 25)
Inequivalent atoms, fractional coordinates:
Zn  0.000  0.000  0.000 x1
Tc  0.000  0.000  0.536 x1
Tc  0.500  0.500  0.730 x1
Au  0.500  0.500  0.234 x1

Values from the calculation:
spin magnetization = 0.00 μB/f.u.
calculated formation energy = 0.10 eV per atom

---

Entry from Alexandria: an optimized crystal structure of P2HPtCl (PBE).

a = 4.586 Å, b = 4.586 Å, c = 5.423 Å
α = 90.00°, β = 90.00°, γ = 90.00°
Space group P4/mmm (No. 123)
Inequivalent atoms, fractional coordinates:
P  0.000  0.500  0.000 x2
H  0.000  0.000  0.500 x1
Pt  0.500  0.500  0.000 x1
Cl  0.500  0.500  0.500 x1

Values from the calculation:
spin magnetization = 0.82 μB/f.u.
ΔE to the lowest computed polymorph = 110 meV/atom